Record 1
The following is a DFT calculation (PBE) of an optimized crystal structure of Nd3PtRh.

## Properties
DFT formation energy ... -781 meV/atom
Symmetry ... No. 14

abc: 8.4847 7.4612 8.9124
angles: 90.00 74.05 90.00
Element x y z (fractional)
Nd1 0.3901 0.1522 0.7890
Nd2 0.2810 0.5036 0.5498
Nd3 0.7810 0.9964 0.5498
Nd4 0.1099 0.6522 0.2110
Nd5 0.0067 0.1857 0.1469
Nd6 0.4933 0.6857 0.8531
Nd7 0.5067 0.3143 0.1469
Nd8 0.6099 0.8478 0.2110
Nd9 0.7190 0.4964 0.4502
Nd10 0.2190 0.0036 0.4502
Nd11 0.8901 0.3478 0.7890
Nd12 0.9933 0.8143 0.8531
Pt1 0.6826 0.0363 0.9054
Pt2 0.3174 0.9637 0.0946
Pt3 0.8173 0.5363 0.0946
Pt4 0.1827 0.4637 0.9054
Rh1 0.5185 0.1886 0.4447
Rh2 0.0185 0.3114 0.4447
Rh3 0.9815 0.6886 0.5553
Rh4 0.4815 0.8114 0.5553

Record 2
The following is a DFT calculation (PBE) of an optimized crystal structure of Nd2PtRh.

## Properties
DFT formation energy ... -857 meV/atom
Symmetry ... No. 123

abc: 3.5740 3.5740 7.1657
angles: 90.00 90.00 90.00
Element x y z (fractional)
Nd1 0.0000 0.0000 0.2453
Nd2 0.0000 0.0000 0.7547
Rh1 0.5000 0.5000 0.0000
Pt1 0.5000 0.5000 0.5000

Record 3
The following is a DFT calculation (PBE) of an optimized crystal structure of Nd8PtRh2.

## Properties
DFT formation energy ... -404 meV/atom
Distance to the lowest polymorph of the same formula ... 0 meV/atom
Symmetry ... No. 8

abc: 6.4348 7.7053 7.7053
angles: 113.39 100.80 100.80
Element x y z (fractional)
Nd1 0.5920 0.3507 0.0848
Nd2 0.9811 0.7926 0.2053
Nd3 0.7949 0.6478 0.6478
Nd4 0.3636 0.9203 0.6531
Nd5 0.9811 0.2053 0.7926
Nd6 0.1746 0.3617 0.3617
Nd7 0.3636 0.6531 0.9203
Nd8 0.5920 0.0848 0.3507
Rh1 0.4862 0.6902 0.3184
Rh2 0.4862 0.3184 0.6902
Pt1 0.1843 0.0091 0.0091

Record 4
The following is a DFT calculation (PBE) of an optimized crystal structure of Nd8Pt2Rh.

## Properties
DFT formation energy ... -539 meV/atom
Distance to the lowest polymorph of the same formula ... 0 meV/atom
Symmetry ... No. 12

abc: 5.0906 7.0277 9.2754
angles: 98.19 105.93 90.00
Element x y z (fractional)
Nd1 0.2038 0.3342 0.4077
Nd2 0.4119 0.5569 0.8237
Nd3 0.7962 0.6658 0.5923
Nd4 0.9674 0.2211 0.9348
Nd5 0.3370 0.0328 0.6740
Nd6 0.0326 0.7789 0.0652
Nd7 0.5881 0.4431 0.1763
Nd8 0.6630 0.9672 0.3260
Pt1 0.7992 0.2579 0.5985
Pt2 0.2008 0.7422 0.4015
Rh1 0.5000 0.0000 0.0000

Record 5
The following is a DFT calculation (PBE) of an optimized crystal structure of NdPt3Rh.

## Properties
DFT formation energy ... -3 meV/atom
Symmetry ... No. 63

abc: 4.8426 7.4446 7.4446
angles: 120.60 90.00 90.00
Element x y z (fractional)
Pt1 0.2500 0.9364 0.4079
Pt2 0.7500 0.4079 0.9364
Pt3 0.0000 0.0000 0.0000
Pt4 0.2500 0.5921 0.0636
Pt5 0.5000 0.0000 0.0000
Pt6 0.7500 0.0636 0.5921
Nd1 0.2500 0.3842 0.6158
Nd2 0.7500 0.6158 0.3842
Rh1 0.2500 0.1791 0.8209
Rh2 0.7500 0.8209 0.1791

Record 6
The following is a DFT calculation (PBE) of an optimized crystal structure of Nd4PtRh2.

## Properties
DFT formation energy ... -761 meV/atom
Symmetry ... No. 122

abc: 7.7323 7.7346 7.7285
angles: 109.21 109.19 110.02
Element x y z (fractional)
Nd1 0.2593 0.5076 0.1288
Nd2 0.8695 0.7408 0.2482
Nd3 0.3806 0.1286 0.3716
Nd4 0.9909 0.6193 0.7480
Nd5 0.8714 0.2425 0.2515
Nd6 0.3786 0.1308 0.8717
Nd7 0.4928 0.6213 0.7517
Nd8 0.7573 0.0093 0.6287
Pt1 0.2500 0.7502 0.5002
Pt2 0.0001 0.9998 0.9999
Rh1 0.4976 0.8750 0.1225
Rh2 0.7521 0.3749 0.8772
Rh3 0.1250 0.2478 0.6227
Rh4 0.6249 0.5020 0.3771

Record 7
The following is a DFT calculation (PBE) of an optimized crystal structure of NdPtRh2.

## Properties
DFT formation energy ... -678 meV/atom
Symmetry ... No. 166

abc: 5.3703 5.3703 9.4091
angles: 73.42 73.42 60.00
Element x y z (fractional)
Nd1 0.8613 0.8613 0.4161
Nd2 0.1387 0.1387 0.5839
Nd3 0.0000 0.0000 0.0000
Pt1 0.3328 0.3328 0.0015
Pt2 0.6672 0.6672 0.9985
Pt3 0.5000 0.5000 0.5000
Rh1 0.5836 0.5836 0.7519
Rh2 0.5836 0.0808 0.7519
Rh3 0.9192 0.4164 0.2481
Rh4 0.4164 0.9192 0.2481
Rh5 0.0808 0.5836 0.7519
Rh6 0.4164 0.4164 0.2481

Record 8
The following is a DFT calculation (PBE) of an optimized crystal structure of Nd12Pt6Rh.

## Properties
DFT formation energy ... -768 meV/atom
Symmetry ... No. 148

abc: 8.4732 8.4732 8.4732
angles: 99.14 99.14 99.14
Element x y z (fractional)
Nd1 0.5771 0.4169 0.8223
Nd2 0.0724 0.9514 0.3209
Nd3 0.4169 0.8223 0.5771
Nd4 0.5831 0.1777 0.4229
Nd5 0.9514 0.3209 0.0724
Nd6 0.8223 0.5771 0.4169
Nd7 0.4229 0.5831 0.1777
Nd8 0.3209 0.0724 0.9514
Nd9 0.0486 0.6791 0.9276
Nd10 0.1777 0.4229 0.5831
Nd11 0.9276 0.0486 0.6791
Nd12 0.6791 0.9276 0.0486
Pt1 0.6167 0.3068 0.1340
Pt2 0.1340 0.6167 0.3068
Pt3 0.3833 0.6932 0.8660
Pt4 0.6932 0.8660 0.3833
Pt5 0.3068 0.1340 0.6167
Pt6 0.8660 0.3833 0.6932
Rh1 0.0000 0.0000 0.0000

Record 9
The following is a DFT calculation (PBE) of an optimized crystal structure of Nd8Pt5Rh.

## Properties
DFT formation energy ... -919 meV/atom
Symmetry ... No. 82

abc: 7.7997 7.7997 7.7997
angles: 109.65 109.12 109.65
Element x y z (fractional)
Nd1 0.6271 0.3740 0.8762
Nd2 0.1238 0.7509 0.4977
Nd3 0.7468 0.2491 0.3729
Nd4 0.6177 0.8639 0.8694
Nd5 0.1306 0.7483 0.9945
Nd6 0.5023 0.6260 0.2532
Nd7 0.2462 0.2517 0.3823
Nd8 0.0055 0.1361 0.7538
Pt1 0.5000 0.0000 0.5000
Pt2 0.7524 0.6244 0.6256
Pt3 0.3744 0.1268 0.9988
Pt4 0.8720 0.8732 0.2476
Pt5 0.0012 0.3756 0.1280
Rh1 0.2500 0.5000 0.7500

Record 10
The following is a DFT calculation (PBE) of an optimized crystal structure of Nd2PtRh.

## Properties
DFT formation energy ... -922 meV/atom
Symmetry ... No. 11

abc: 4.4569 5.8046 7.8007
angles: 109.85 90.00 90.00
Element x y z (fractional)
Rh1 0.2500 0.3225 0.7067
Rh2 0.7500 0.6775 0.2933
Pt1 0.2500 0.3295 0.2067
Pt2 0.7500 0.6705 0.7933
Nd1 0.2500 0.7791 0.5678
Nd2 0.7500 0.2233 0.9285
Nd3 0.7500 0.2209 0.4322
Nd4 0.2500 0.7767 0.0715

Record 11
The following is a DFT calculation (PBE) of an optimized crystal structure of NdPt4Rh2.

## Properties
DFT formation energy ... -481 meV/atom
Symmetry ... No. 139

abc: 5.3021 5.4781 5.4781
angles: 76.48 61.09 61.09
Element x y z (fractional)
Rh1 0.7499 0.5001 0.5001
Rh2 0.2501 0.4999 0.4999
Nd1 0.0000 0.0000 0.0000
Pt1 0.6981 0.6036 0.0000
Pt2 0.3019 0.0000 0.3964
Pt3 0.3019 0.3964 0.0000
Pt4 0.6981 0.0000 0.6036

Record 12
The following is a DFT calculation (PBE) of an optimized crystal structure of Nd8PtRh5.

## Properties
DFT formation energy ... -697 meV/atom
Symmetry ... No. 82

abc: 7.7048 7.7048 7.7048
angles: 109.32 109.77 109.32
Element x y z (fractional)
Rh1 0.0006 0.3750 0.1229
Rh2 0.3744 0.1223 0.9994
Rh3 0.7479 0.6250 0.6256
Rh4 0.5000 0.0000 0.5000
Rh5 0.8771 0.8777 0.2521
Nd1 0.6244 0.3673 0.8748
Nd2 0.1252 0.7495 0.4925
Nd3 0.5075 0.6327 0.2571
Nd4 0.6306 0.8753 0.8792
Nd5 0.7429 0.2505 0.3756
Nd6 0.1208 0.7514 0.9961
Nd7 0.0039 0.1247 0.7553
Nd8 0.2447 0.2486 0.3694
Pt1 0.2500 0.5000 0.7500

Record 13
The following is a DFT calculation (PBE) of an optimized crystal structure of Nd12PtRh6.

## Properties
DFT formation energy ... -544 meV/atom
Symmetry ... No. 148

abc: 8.4265 8.4265 8.4265
angles: 100.19 100.19 100.19
Element x y z (fractional)
Nd1 0.9456 0.3267 0.0825
Nd2 0.0544 0.6733 0.9175
Nd3 0.6733 0.9175 0.0544
Nd4 0.1769 0.4158 0.5767
Nd5 0.4233 0.8231 0.5842
Nd6 0.4158 0.5767 0.1769
Nd7 0.3267 0.0825 0.9456
Nd8 0.9175 0.0544 0.6733
Nd9 0.5767 0.1769 0.4158
Nd10 0.8231 0.5842 0.4233
Nd11 0.5842 0.4233 0.8231
Nd12 0.0825 0.9456 0.3267
Rh1 0.3100 0.1351 0.6160
Rh2 0.6900 0.8649 0.3840
Rh3 0.1351 0.6160 0.3100
Rh4 0.8649 0.3840 0.6900
Rh5 0.3840 0.6900 0.8649
Rh6 0.6160 0.3100 0.1351
Pt1 0.0000 0.0000 0.0000

Record 14
The following is a DFT calculation (PBE) of an optimized crystal structure of Nd8PtRh2.

## Properties
DFT formation energy ... -381 meV/atom
Distance to the lowest polymorph of the same formula ... 23 meV/atom
Symmetry ... No. 12

abc: 6.0038 7.9599 7.9599
angles: 115.99 100.39 100.39
Element x y z (fractional)
Nd1 0.6686 0.3677 0.3677
Nd2 0.5000 0.7815 0.2185
Nd3 0.0762 0.0920 0.3394
Nd4 0.9238 0.9080 0.6606
Nd5 0.3314 0.6323 0.6323
Nd6 0.5000 0.2185 0.7815
Nd7 0.0762 0.3394 0.0920
Nd8 0.9238 0.6606 0.9080
Pt1 0.5000 0.0000 0.0000
Rh1 0.0000 0.2904 0.7096
Rh2 0.0000 0.7096 0.2904

Record 15
The following is a DFT calculation (PBE) of an optimized crystal structure of NdPt4Rh.

## Properties
DFT formation energy ... -497 meV/atom
Symmetry ... No. 216

abc: 5.3606 5.3606 5.3606
angles: 60.00 60.00 60.00
Each line ends with the local moment (μB).
Element x y z (fractional)
Pt1 0.6242 0.6242 0.1273  0.04
Pt2 0.6242 0.1273 0.6242  0.04
Pt3 0.1273 0.6242 0.6242  0.04
Pt4 0.6242 0.6242 0.6242  0.04
Nd1 0.0000 0.0000 0.0000  -0.02
Rh1 0.2500 0.2500 0.2500  0.77

Record 16
The following is a DFT calculation (PBE) of an optimized crystal structure of Nd3Pt2Rh.

## Properties
DFT formation energy ... -921 meV/atom
Symmetry ... No. 62

abc: 4.1695 11.9414 11.9468
angles: 90.00 90.00 90.00
Element x y z (fractional)
Nd1 0.7500 0.9427 0.1227
Nd2 0.2500 0.3752 0.0475
Nd3 0.2500 0.4427 0.3773
Nd4 0.7500 0.5573 0.6227
Nd5 0.2500 0.6921 0.2204
Nd6 0.7500 0.3079 0.7796
Nd7 0.2500 0.0573 0.8773
Nd8 0.2500 0.8079 0.7204
Nd9 0.7500 0.6248 0.9525
Nd10 0.2500 0.1248 0.5475
Nd11 0.7500 0.1921 0.2796
Nd12 0.7500 0.8752 0.4525
Pt1 0.2500 0.4983 0.8234
Pt2 0.2500 0.6965 0.5020
Pt3 0.7500 0.9983 0.6766
Pt4 0.2500 0.8035 0.0020
Pt5 0.7500 0.5017 0.1766
Pt6 0.2500 0.0017 0.3234
Pt7 0.7500 0.1965 0.9980
Pt8 0.7500 0.3035 0.4980
Rh1 0.2500 0.3758 0.6244
Rh2 0.7500 0.8758 0.8756
Rh3 0.7500 0.6242 0.3756
Rh4 0.2500 0.1242 0.1244

Record 17
The following is a DFT calculation (PBE) of an optimized crystal structure of Nd3Pt8Rh.

## Properties
DFT formation energy ... -823 meV/atom
Symmetry ... No. 160

abc: 5.4605 5.4605 9.4333
angles: 73.18 73.18 60.00
Each line ends with the local moment (μB).
Element x y z (fractional)
Nd1 0.4908 0.4908 0.5275  0.00
Nd2 0.0128 0.0128 0.9615  0.00
Nd3 0.6215 0.6215 0.1354  -0.01
Pt1 0.8105 0.8105 0.5684  0.02
Pt2 0.0609 0.5608 0.3174  0.02
Pt3 0.5626 0.0579 0.8169  0.02
Pt4 0.5608 0.0609 0.3174  0.02
Pt5 0.0609 0.0609 0.3174  0.02
Pt6 0.5626 0.5626 0.8169  0.02
Pt7 0.3113 0.3113 0.0660  0.01
Pt8 0.0579 0.5626 0.8169  0.02
Rh1 0.1373 0.1373 0.5882  0.24

Record 18
The following is a DFT calculation (PBE) of an optimized crystal structure of Nd2Sb3PtRh4.

## Properties
Energy relative to the elements, uncorrected ... -0.7504 eV per atom
Symmetry ... No. 115

abc: 4.3027 4.3027 11.2933
angles: 90.00 90.00 90.00
Element x y z (fractional)
Nd1 0.5000 0.0000 0.2691
Nd2 0.0000 0.5000 0.7309
Rh1 0.0000 0.5000 0.3567
Rh2 0.5000 0.0000 0.6433
Rh3 0.0000 0.0000 0.0000
Rh4 0.5000 0.5000 0.0000
Sb1 0.5000 0.0000 0.8673
Sb2 0.0000 0.5000 0.1327
Sb3 0.0000 0.0000 0.5000
Pt1 0.5000 0.5000 0.5000

Record 19
The following is a DFT calculation (PBE) of an optimized crystal structure of Nd2Sb4PtRh3.

## Properties
Energy relative to the elements, uncorrected ... -0.8074 eV per atom
Symmetry ... No. 115

abc: 4.5924 4.5924 10.4162
angles: 90.00 90.00 90.00
Element x y z (fractional)
Nd1 0.0000 0.5000 0.7440
Nd2 0.5000 0.0000 0.2560
Sb1 0.5000 0.5000 0.0000
Sb2 0.5000 0.0000 0.6327
Sb3 0.0000 0.0000 0.0000
Sb4 0.0000 0.5000 0.3673
Rh1 0.5000 0.0000 0.8789
Rh2 0.0000 0.0000 0.5000
Rh3 0.0000 0.5000 0.1211
Pt1 0.5000 0.5000 0.5000

Record 20
The following is a DFT calculation (PBE) of an optimized crystal structure of Nd2Si3Pt12Rh.

## Properties
Energy relative to the elements, uncorrected ... -0.3921 eV per atom
Symmetry ... No. 166

abc: 7.7493 7.7493 7.7493
angles: 64.02 64.02 64.02
Element x y z (fractional)
Pt1 0.8701 0.8701 0.3803
Pt2 0.3803 0.8701 0.8701
Pt3 0.6454 0.1022 0.6454
Pt4 0.8978 0.3546 0.3546
Pt5 0.1022 0.6454 0.6454
Pt6 0.1299 0.1299 0.6197
Pt7 0.8701 0.3803 0.8701
Pt8 0.3546 0.3546 0.8978
Pt9 0.6197 0.1299 0.1299
Pt10 0.1299 0.6197 0.1299
Pt11 0.6454 0.6454 0.1022
Pt12 0.3546 0.8978 0.3546
Si1 0.5000 0.0000 0.0000
Si2 0.0000 0.5000 0.0000
Si3 0.0000 0.0000 0.5000
Rh1 0.0000 0.0000 0.0000
Nd1 0.3874 0.3874 0.3874
Nd2 0.6126 0.6126 0.6126

Q: Which DFT total energy values were calculated for the entries above? A: -6.32 -6.59 -5.76 -5.77 -6.05 -6.45 -7.06 -6.07 -6.33 -6.65 -6.71 -6.48 -6.19 -5.73 -6.54 -6.54 -6.66 -6.49 -6.22 -6.26, in eV per atom.